--- i ---
This record from the Alexandria database describes a geometry-optimized ZrAgIr2 structure. The functional is GGA-PBE.

Properties
- Calculated volume: 68 Å³/cell
- M_tot: 0.09 μB per atom
- SG: F-43m

```
4
Lattice="-1.022 1.543 -4.197 -3.254 -2.077 -2.478 -4.003 2.108 -0.756" Properties=species:S:1:pos:R:3 pbc="T T T"
Ir 0.000 0.000 0.000
Ir -6.209 1.181 -5.574
Ag -4.140 0.787 -3.716
Zr -2.070 0.394 -1.858
```

=====

--- ii ---
This record from the Alexandria database describes a geometry-optimized ZrAgIr2 structure. The functional is GGA-PBE.

Properties
- Calculated volume: 67 Å³/cell
- M_tot: 0.00 μB per atom
- SG: I4/mmm

```
4
Lattice="-4.122 2.163 -1.466 0.113 -0.034 -4.879 0.646 -3.664 3.159" Properties=species:S:1:pos:R:3 pbc="T T T"
Ir -4.009 2.129 -6.345
Ir -2.005 1.065 -3.173
Zr -2.740 -0.218 -0.740
Ag -0.623 -1.317 -2.447
```

=====

--- iii ---
This record from the Alexandria database describes a geometry-optimized ZrAgIr2 structure. The functional is GGA-PBE.

Properties
- Calculated volume: 71 Å³/cell
- M_tot: 0.00 μB per atom
- SG: R-3m

```
4
Lattice="8.977 -0.136 -0.080 8.505 2.876 -0.080 8.505 1.333 2.550" Properties=species:S:1:pos:R:3 pbc="T T T"
Ir 25.849 4.052 2.378
Ir 13.132 2.058 1.208
Zr 6.497 1.018 0.598
Ag 19.491 3.055 1.793
```

=====

Name the most stable of them. ii.

=====

--- i ---
This record from the Alexandria database describes a geometry-optimized ZrAgIr2 structure. The functional is GGA-PBE.

Properties
- Calculated volume: 68 Å³/cell
- M_tot: 0.00 μB per atom
- SG: Fm-3m

```
4
Lattice="0.000 3.240 3.240 3.240 0.000 3.240 3.240 3.240 0.000" Properties=species:S:1:pos:R:3 pbc="T T T"
Ir 4.859 4.859 4.859
Ir 1.620 1.620 1.620
Zr 0.000 0.000 0.000
Ag 3.240 3.240 3.240
```

=====

--- ii ---
This record from the Alexandria database describes a geometry-optimized ZrAgIr2 structure. The functional is GGA-PBE.

Properties
- Calculated volume: 68 Å³/cell
- M_tot: 0.00 μB per atom
- SG: Pmmm

```
4
Lattice="-0.360 -2.753 -1.465 3.603 -0.244 -0.428 0.427 -2.827 5.206" Properties=species:S:1:pos:R:3 pbc="T T T"
Ag 1.942 -3.618 2.958
Ir 0.214 -1.417 2.609
Ir 0.427 -2.824 5.200
Zr 1.728 -2.205 0.355
```

=====

--- iii ---
This record from the Alexandria database describes a geometry-optimized ZrAgIr2 structure. The functional is GGA-PBE.

Properties
- Calculated volume: 69 Å³/cell
- M_tot: 0.00 μB per atom
- SG: Cm

```
4
Lattice="5.329 0.002 0.019 4.526 2.813 0.019 1.350 0.386 4.606" Properties=species:S:1:pos:R:3 pbc="T T T"
Ir 0.289 0.083 0.158
Ir 8.108 2.316 3.316
Zr 5.476 1.564 2.591
Ag 2.934 0.838 0.902
```

=====

--- iv ---
This record from the Alexandria database describes a geometry-optimized ZrAgIr2 structure. The functional is GGA-PBE.

Properties
- Calculated volume: 67 Å³/cell
- M_tot: 0.03 μB per atom
- SG: I-4m2

```
4
Lattice="-2.351 0.371 4.461 -2.788 -4.091 1.030 4.790 0.666 -1.476" Properties=species:S:1:pos:R:3 pbc="T T T"
Zr -2.570 -1.860 2.746
Ir -0.065 -0.411 2.865
Ir 0.000 0.000 0.000
Ag -0.284 -2.642 1.150
```

=====

Name the most stable of them. ii.

=====

--- i ---
This record from the Alexandria database describes a geometry-optimized ZrAgIr2 structure. The functional is GGA-PBE.

Properties
- Calculated volume: 67 Å³/cell
- M_tot: 0.00 μB per atom
- SG: C2/m

```
4
Lattice="5.454 0.009 -0.002 -2.480 4.858 -0.002 0.686 1.122 2.534" Properties=species:S:1:pos:R:3 pbc="T T T"
Ir 1.487 2.433 -0.002
Ir 0.000 0.000 0.000
Ag -0.897 2.990 1.266
Zr 3.070 0.566 1.266
```

=====

--- ii ---
This record from the Alexandria database describes a geometry-optimized ZrAgIr2 structure. The functional is GGA-PBE.

Properties
- Calculated volume: 67 Å³/cell
- M_tot: 0.00 μB per atom
- SG: R3m

```
4
Lattice="9.802 -0.006 -0.004 9.393 2.801 -0.004 9.393 1.368 2.445" Properties=species:S:1:pos:R:3 pbc="T T T"
Ir 7.291 1.062 0.622
Ir 28.467 4.145 2.427
Ag 21.313 3.104 1.817
Zr 14.400 2.097 1.228
```

=====

Name the most stable of them. i.